No. 1
First-principles (PBEsol) data for crystalline SmY4Se5 at its relaxed geometry, as listed in the Alexandria database.

Geometry as POSCAR:
```
SmY4Se5
1.0
2.014 1.163 16.576
-2.014 1.163 16.576
0.000 -2.326 16.576
Sm Y Se
1 4 5
Cartesian
0.000 0.000 0.000
0.000 0.000 9.924
0.000 0.000 19.929
0.000 0.000 29.799
0.000 0.000 39.804
0.000 0.000 5.005
0.000 0.000 14.840
0.000 0.000 24.864
0.000 0.000 34.889
0.000 0.000 44.724
```

Output
The calculation puts the total magnetic moment at 0.0 μB per cell. For the uncorrected formation energy, the calculation gives -1.863 eV per atom. Its crystal system is trigonal.

***

No. 2
First-principles (PBEsol) data for crystalline Sm2ZrSe5 at its relaxed geometry, as listed in the Alexandria database.

Geometry as POSCAR:
```
Sm2ZrSe5
1.0
11.990 0.000 0.000
0.000 8.145 0.000
0.000 0.000 7.578
Sm Zr Se
8 4 20
Cartesian
2.135 0.029 0.234
2.135 4.043 0.234
3.860 4.102 4.023
3.860 8.116 4.023
8.129 0.029 3.555
8.129 4.043 3.555
9.855 4.102 7.344
9.855 8.116 7.344
0.095 6.109 4.396
5.900 2.036 0.607
6.090 6.109 6.971
11.894 2.036 3.182
0.045 6.109 7.199
1.070 0.327 5.045
1.070 3.746 5.045
2.184 6.109 2.540
2.509 2.036 2.393
3.486 6.109 6.182
3.811 2.036 6.329
4.925 4.399 1.256
4.925 7.818 1.256
5.949 2.036 3.410
6.040 6.109 4.168
7.065 0.327 6.323
7.065 3.746 6.323
8.178 6.109 1.249
8.504 2.036 1.396
9.480 6.109 5.185
9.806 2.036 5.038
10.919 4.399 2.533
10.919 7.818 2.533
11.944 2.036 0.379
```

Output
The calculation puts the total magnetic moment at 0.0 μB per cell. For the uncorrected formation energy, the calculation gives -1.726 eV per atom. Its crystal system is orthorhombic.